A relaxed Zr6In2N crystal. Source: the Alexandria database, functional PBE.

a = 3.3696 Å, b = 7.9406 Å, c = 7.9406 Å
α = 119.35°, β = 90.00°, γ = 90.00°
Last column: nearest neighbours and their distance in Å.
Fractional coordinates of all 9 atoms:
Zr: 0.0000 0.0000 0.0000  2 N 2.28
Zr: 0.0000 0.5330 0.7515  2 N 2.62
Zr: 0.0000 0.7515 0.5330  2 N 2.62
Zr: 0.5000 0.1324 0.7599  1 N 2.78, 4 In 2.98-3.02, 2 Zr 3.09
Zr: 0.5000 0.3503 0.3503  4 In 3.00, 6 Zr 3.25-3.28
Zr: 0.5000 0.7599 0.1324  1 N 2.78, 4 In 2.98-3.02, 2 Zr 3.09
In: 0.0000 0.0849 0.4306  9 Zr 2.98-3.20
In: 0.0000 0.4306 0.0849  9 Zr 2.98-3.20
N: 0.5000 0.8078 0.8078  2 Zr 2.28

Properties
SG: No. 38
ΔE_f (raw): -0.322 eV per atom
excess energy over the best structure of this formula in the dataset: 21.7 kJ per mole of atoms
electronic total energy: -68.0 eV/cell



A relaxed ZrInN crystal. Source: the Alexandria database, functional PBE.

a = 6.0308 Å, b = 6.0308 Å, c = 6.1644 Å
α = 90.00°, β = 90.00°, γ = 90.00°
Last column: nearest neighbours and their distance in Å.
Fractional coordinates of all 12 atoms:
Zr: 0.1497 0.1497 0.0000  3 N 2.15-2.17
Zr: 0.3503 0.6497 0.2500  3 N 2.15-2.17
Zr: 0.6497 0.3503 0.7500  3 N 2.15-2.17
Zr: 0.8503 0.8503 0.5000  3 N 2.15-2.17
In: 0.2240 0.2240 0.5000  2 N 2.59
In: 0.2760 0.7240 0.7500  2 N 2.59
In: 0.7240 0.2760 0.2500  2 N 2.59
In: 0.7760 0.7760 0.0000  2 N 2.59
N: 0.0983 0.9017 0.2500  3 Zr 2.15-2.17
N: 0.4017 0.4017 0.0000  3 Zr 2.15-2.17
N: 0.5983 0.5983 0.5000  3 Zr 2.15-2.17
N: 0.9017 0.0983 0.7500  3 Zr 2.15-2.17

Properties
SG: No. 92
ΔE_f (raw): -0.503 eV per atom
electronic total energy: -84.5 eV/cell



A relaxed Zr3InN crystal. Source: the Alexandria database, functional PBE.

a = 5.2700 Å, b = 6.2101 Å, c = 5.9358 Å
α = 90.00°, β = 92.11°, γ = 90.00°
Last column: nearest neighbours and their distance in Å.
Fractional coordinates of all 10 atoms:
Zr: 0.2480 0.0039 0.1392  2 N 2.20-2.22
Zr: 0.2481 0.2500 0.6330  1 N 2.19
Zr: 0.2480 0.4961 0.1392  2 N 2.20-2.22
Zr: 0.7520 0.5039 0.8608  2 N 2.20-2.22
Zr: 0.7519 0.7500 0.3670  1 N 2.19
Zr: 0.7520 0.9961 0.8608  2 N 2.20-2.22
In: 0.2637 0.7500 0.6421  1 N 2.97, 6 Zr 3.10-3.22
In: 0.7363 0.2500 0.3579  1 N 2.97, 6 Zr 3.10-3.22
N: 0.0322 0.2500 0.9408  5 Zr 2.19-2.22
N: 0.9678 0.7500 0.0592  5 Zr 2.19-2.22

Properties
SG: No. 11
ΔE_f (raw): -0.770 eV per atom
electronic total energy: -81.1 eV/cell



A relaxed Zr3InN crystal. Source: the Alexandria database, functional PBE.

a = 4.9370 Å, b = 4.9370 Å, c = 8.8546 Å
α = 90.00°, β = 90.00°, γ = 120.00°
Last column: nearest neighbours and their distance in Å.
Fractional coordinates of all 10 atoms:
Zr: 0.0000 0.0000 0.2500  2 N 2.21
Zr: 0.0000 0.0000 0.7500  2 N 2.21
Zr: 0.3333 0.6667 0.0801  4 In 2.92-3.22, 3 N 2.94, 7 Zr 3.01-3.22
Zr: 0.3333 0.6667 0.4199  4 In 2.92-3.22, 3 N 2.94, 7 Zr 3.01-3.22
Zr: 0.6667 0.3333 0.5801  4 In 2.92-3.22, 3 N 2.94, 7 Zr 3.01-3.22
Zr: 0.6667 0.3333 0.9199  4 In 2.92-3.22, 3 N 2.94, 7 Zr 3.01-3.22
In: 0.3333 0.6667 0.7500  5 Zr 2.85-2.92
In: 0.6667 0.3333 0.2500  5 Zr 2.85-2.92
N: 0.0000 0.0000 0.0000  2 Zr 2.21
N: 0.0000 0.0000 0.5000  2 Zr 2.21

Properties
SG: No. 194
ΔE_f (raw): -0.281 eV per atom
electronic total energy: -76.2 eV/cell



A relaxed Zr3InN crystal. Source: the Alexandria database, functional PBE.

a = 8.0283 Å, b = 8.0283 Å, c = 8.0283 Å
α = 42.09°, β = 42.09°, γ = 42.09°
Last column: nearest neighbours and their distance in Å.
Fractional coordinates of all 10 atoms:
Zr: 0.0995 0.7876 0.4461  2 N 2.24-2.26
Zr: 0.2124 0.5539 0.9005  2 N 2.24-2.26
Zr: 0.4461 0.0995 0.7876  2 N 2.24-2.26
Zr: 0.5539 0.9005 0.2124  2 N 2.24-2.26
Zr: 0.7876 0.4461 0.0995  2 N 2.24-2.26
Zr: 0.9005 0.2124 0.5539  2 N 2.24-2.26
In: 0.3356 0.3356 0.3356  6 Zr 3.10-3.12, 3 In 3.33
In: 0.6644 0.6644 0.6644  6 Zr 3.10-3.12, 3 In 3.33
N: 0.1650 0.1650 0.1650  6 Zr 2.24-2.26
N: 0.8350 0.8350 0.8350  6 Zr 2.24-2.26

Properties
SG: No. 148
ΔE_f (raw): -0.645 eV per atom
electronic total energy: -79.9 eV/cell



A relaxed Zr4InN2 crystal. Source: the Alexandria database, functional PBE.

a = 5.9894 Å, b = 5.9894 Å, c = 11.9099 Å
α = 90.00°, β = 90.00°, γ = 146.51°
Last column: nearest neighbours and their distance in Å.
Fractional coordinates of all 14 atoms:
Zr: 0.0000 0.0000 0.0000  4 N 2.41
Zr: 0.0000 0.0000 0.5000  4 N 2.41
Zr: 0.2553 0.7447 0.5996  3 N 2.28-2.30
Zr: 0.2553 0.7447 0.9004  3 N 2.28-2.30
Zr: 0.4100 0.5900 0.2500  2 N 2.31
Zr: 0.5900 0.4100 0.7500  2 N 2.31
Zr: 0.7447 0.2553 0.0996  3 N 2.28-2.30
Zr: 0.7447 0.2553 0.4004  3 N 2.28-2.30
In: 0.1103 0.8897 0.2500  6 Zr 2.87-2.93
In: 0.8897 0.1103 0.7500  6 Zr 2.87-2.93
N: 0.3677 0.6323 0.0607  6 Zr 2.28-2.41
N: 0.3677 0.6323 0.4393  6 Zr 2.28-2.41
N: 0.6323 0.3677 0.5607  6 Zr 2.28-2.41
N: 0.6323 0.3677 0.9393  6 Zr 2.28-2.41

Properties
SG: No. 63
ΔE_f (raw): -1.063 eV per atom
electronic total energy: -122.0 eV/cell



A relaxed ZrIn3N crystal. Source: the Alexandria database, functional PBE.

a = 5.6323 Å, b = 5.6323 Å, c = 5.6323 Å
α = 90.00°, β = 90.00°, γ = 90.00°
Last column: nearest neighbours and their distance in Å.
Fractional coordinates of all 5 atoms:
Zr: 0.0000 0.0000 0.0000  6 In 2.82
In: 0.0000 0.0000 0.5000  2 Zr 2.82
In: 0.0000 0.5000 0.0000  2 Zr 2.82
In: 0.5000 0.0000 0.0000  2 Zr 2.82
N: 0.5000 0.5000 0.5000  12 In 3.98

Properties
SG: No. 221
ΔE_f (raw): 1.778 eV per atom
electronic total energy: -16.2 eV/cell



A relaxed Zr3InN crystal. Source: the Alexandria database, functional PBE.

a = 7.8479 Å, b = 7.8479 Å, c = 7.8479 Å
α = 137.62°, β = 137.62°, γ = 61.49°
Last column: nearest neighbours and their distance in Å.
Fractional coordinates of all 10 atoms:
Zr: 0.2080 0.2080 0.0000  2 N 2.89, 2 Zr 2.89, 2 In 3.03
Zr: 0.3444 0.6085 0.7359  2 N 2.10-2.33
Zr: 0.3915 0.1273 0.7359  2 N 2.10-2.33
Zr: 0.3915 0.6556 0.2641  2 N 2.10-2.33
Zr: 0.7920 0.7920 0.0000  2 N 2.89, 2 Zr 2.89, 2 In 3.03
Zr: 0.8727 0.6085 0.2641  2 N 2.10-2.33
In: 0.6294 0.1294 0.5000  6 Zr 3.03-3.22, 1 In 3.25, 2 N 3.33
In: 0.8706 0.3706 0.5000  6 Zr 3.03-3.22, 1 In 3.25, 2 N 3.33
N: 0.2500 0.7500 0.5000  4 Zr 2.33
N: 0.5000 0.5000 0.0000  4 Zr 2.10

Properties
SG: No. 119
ΔE_f (raw): -0.166 eV per atom
electronic total energy: -75.1 eV/cell



A relaxed Zr3InN crystal. Source: the Alexandria database, functional PBE.

a = 8.4655 Å, b = 5.8459 Å, c = 8.4075 Å
α = 90.00°, β = 111.71°, γ = 90.00°
Last column: nearest neighbours and their distance in Å.
Fractional coordinates of all 20 atoms:
Zr: 0.0443 0.0909 0.3464  3 N 2.29-2.32
Zr: 0.0443 0.4091 0.8464  3 N 2.29-2.32
Zr: 0.1781 0.5681 0.5391  2 N 2.24-2.26
Zr: 0.1781 0.9319 0.0391  2 N 2.24-2.26
Zr: 0.3404 0.1318 0.7579  1 N 2.28
Zr: 0.3404 0.3682 0.2579  1 N 2.28
Zr: 0.6596 0.6318 0.7421  1 N 2.28
Zr: 0.6596 0.8682 0.2421  1 N 2.28
Zr: 0.8219 0.0681 0.9609  2 N 2.24-2.26
Zr: 0.8219 0.4319 0.4609  2 N 2.24-2.26
Zr: 0.9557 0.5909 0.1536  3 N 2.29-2.32
Zr: 0.9557 0.9091 0.6536  3 N 2.29-2.32
In: 0.3802 0.6551 0.8995  1 In 2.78, 5 Zr 2.90-3.11
In: 0.3802 0.8449 0.3995  1 In 2.78, 5 Zr 2.90-3.11
In: 0.6198 0.1551 0.6005  1 In 2.78, 5 Zr 2.90-3.11
In: 0.6198 0.3449 0.1005  1 In 2.78, 5 Zr 2.90-3.11
N: 0.0690 0.2490 0.6042  6 Zr 2.24-2.32
N: 0.0690 0.2510 0.1042  6 Zr 2.24-2.32
N: 0.9310 0.7490 0.8958  6 Zr 2.24-2.32
N: 0.9310 0.7510 0.3958  6 Zr 2.24-2.32

Properties
SG: No. 14
ΔE_f (raw): -0.778 eV per atom
electronic total energy: -162.4 eV/cell



A relaxed Zr3InN crystal. Source: the Alexandria database, functional PBE.

a = 7.7758 Å, b = 3.3439 Å, c = 7.9475 Å
α = 90.00°, β = 90.00°, γ = 90.00°
Last column: nearest neighbours and their distance in Å.
Fractional coordinates of all 10 atoms:
Zr: 0.0338 0.0000 0.2291  1 N 2.06
Zr: 0.2500 0.5000 0.5436  2 N 2.12
Zr: 0.4662 0.0000 0.2291  1 N 2.06
Zr: 0.5338 0.0000 0.7709  1 N 2.06
Zr: 0.7500 0.5000 0.4564  2 N 2.12
Zr: 0.9662 0.0000 0.7709  1 N 2.06
In: 0.2500 0.5000 0.9544  9 Zr 3.13-3.27, 2 In 3.34
In: 0.7500 0.5000 0.0456  9 Zr 3.13-3.27, 2 In 3.34
N: 0.2500 0.0000 0.3786  4 Zr 2.06-2.12
N: 0.7500 0.0000 0.6214  4 Zr 2.06-2.12

Properties
SG: No. 51
ΔE_f (raw): -0.622 eV per atom
electronic total energy: -79.6 eV/cell